Computed, not measured: crystalline CsK2Co3F12 at its relaxed geometry at the GGA+U level of DFT.

energy = -4.4468 eV/atom
crystal system = trigonal
ρ = 3.51 g/cm³

Structure (CIF):
```
data_CsK2Co3F12
_cell_length_a 7.4723
_cell_length_b 7.4723
_cell_length_c 18.0654
_cell_angle_alpha 90.00
_cell_angle_beta 90.00
_cell_angle_gamma 120.00
_symmetry_space_group_name_H-M 'R -3 m'
_symmetry_Int_Tables_number 166
_symmetry_space_group_name_Hall '-R 3 2"'
loop_
_atom_site_label
_atom_site_fract_x
_atom_site_fract_y
_atom_site_fract_z
Cs1 0.0000 0.0000 0.0000
K1 0.0000 0.0000 0.3810
Co1 0.0000 0.5000 0.5000
F1 0.0709 0.5355 0.4035
F2 0.0745 0.5373 0.8120
```